No. 1
Mg2HgAu: relaxed, GGA-PBEsol.

Computed properties:
energy relative to the elements: -357 meV/atom
N(E_F): 0.25 states/eV/atom

Lattice parameters (Å, degrees): 3.4837 4.5590 9.6042 90.00 90.00 90.00
Last column: nearest neighbours and their distance in Å.
Space group Imm2 (No. 44)
Unique sites:
Mg 0.0000 0.0000 0.0000 [2 per cell]  4 Au 2.87, 2 Hg 3.01, 4 Mg 3.14-3.17
Mg 0.0000 0.5000 0.2243 [2 per cell]  2 Au 2.79, 4 Hg 2.88
Hg 0.0000 0.5000 0.7552 [2 per cell]  6 Mg 2.88-3.01, 2 Au 2.91
Au 0.0000 0.0000 0.4977 [2 per cell]  6 Mg 2.79-2.87, 2 Hg 2.91


No. 2
Mg2HgAu: relaxed, GGA-PBEsol.

Computed properties:
energy relative to the elements: -353 meV/atom
N(E_F): 0.25 states/eV/atom

Lattice parameters (Å, degrees): 3.6502 3.6502 5.7924 90.00 90.00 90.00
Last column: nearest neighbours and their distance in Å.
Space group P4mm (No. 99)
Unique sites:
Mg 0.0000 0.0000 0.0000 [1 per cell]  2 Au 2.82-2.98, 4 Hg 2.85, 4 Mg 3.13
Mg 0.5000 0.5000 0.3066 [1 per cell]  4 Au 2.78, 2 Hg 2.81-2.98
Hg 0.5000 0.5000 0.7919 [1 per cell]  6 Mg 2.81-2.98, 4 Au 3.13
Au 0.0000 0.0000 0.4862 [1 per cell]  6 Mg 2.78-2.98


No. 3
MgHgAu: relaxed, GGA-PBEsol.

Computed properties:
E above lowest polymorph: 0.095 eV per atom
energy relative to the elements: -275 meV/atom
N(E_F): 0.41 states/eV/atom

Lattice parameters (Å, degrees): 6.4296 6.4296 6.4296 90.00 90.00 90.00
Last column: nearest neighbours and their distance in Å.
Space group F-43m (No. 216)
Unique sites:
Mg 0.0000 0.0000 0.0000 [4 per cell]  4 Au 2.78
Hg 0.0000 0.0000 0.5000 [4 per cell]  4 Au 2.78
Au 0.2500 0.2500 0.7500 [4 per cell]  4 Hg 2.78, 4 Mg 2.78


No. 4
MgHgAu: relaxed, GGA-PBEsol.

Computed properties:
E above lowest polymorph: 0.000 eV per atom
energy relative to the elements: -370 meV/atom
N(E_F): 0.26 states/eV/atom

Lattice parameters (Å, degrees): 3.5361 3.5361 8.9127 90.00 90.00 90.00
Last column: nearest neighbours and their distance in Å.
Space group I4mm (No. 107)
Unique sites:
Mg 0.0000 0.0000 0.0000 [2 per cell]  5 Au 2.84-3.11, 5 Hg 2.92-2.94
Hg 0.0000 0.0000 0.6726 [2 per cell]  5 Au 2.89-2.95, 5 Mg 2.92-2.94
Au 0.0000 0.0000 0.3484 [2 per cell]  5 Mg 2.84-3.11, 5 Hg 2.89-2.95


No. 5
MgHgAu2: relaxed, GGA-PBEsol.

Computed properties:
energy relative to the elements: -319 meV/atom
N(E_F): 0.28 states/eV/atom

Lattice parameters (Å, degrees): 5.8008 5.8217 8.4847 90.00 90.00 90.00
Last column: nearest neighbours and their distance in Å.
Space group F222 (No. 22)
Unique sites:
Mg 0.0000 0.0000 0.0000 [4 per cell]  8 Au 2.90-2.95, 4 Hg 2.95
Hg 0.2500 0.2500 0.7500 [4 per cell]  8 Au 2.90-2.95, 4 Mg 2.95
Au 0.0000 0.0000 0.5000 [4 per cell]  4 Mg 2.90-2.91, 4 Hg 2.95, 4 Au 2.95
Au 0.2500 0.2500 0.2500 [4 per cell]  4 Hg 2.90-2.91, 4 Mg 2.95, 4 Au 2.95


No. 6
Mg3HgAu: relaxed, GGA-PBEsol.

Computed properties:
energy relative to the elements: 226 meV/atom
N(E_F): 0.42 states/eV/atom

Lattice parameters (Å, degrees): 5.0966 5.0966 5.0966 90.00 90.00 90.00
Last column: nearest neighbours and their distance in Å.
Space group Pm-3m (No. 221)
Unique sites:
Mg 0.0000 0.0000 0.5000 [3 per cell]  2 Hg 2.55
Hg 0.0000 0.0000 0.0000 [1 per cell]  6 Mg 2.55
Au 0.5000 0.5000 0.5000 [1 per cell]  12 Mg 3.60


No. 7
MnHgAu: relaxed, GGA-PBEsol.

Computed properties:
E above lowest polymorph: 0.000 eV per atom
energy relative to the elements: 145 meV/atom
N(E_F): 0.51 states/eV/atom

Lattice parameters (Å, degrees): 3.0610 3.0610 11.0038 90.00 90.00 90.00
Last column: nearest neighbours and their distance in Å.
Space group I4mm (No. 107)
Unique sites:
Mn 0.0000 0.0000 0.0000 [2 per cell]  4 Au 2.70, 4 Hg 2.84
Hg 0.0000 0.0000 0.3330 [2 per cell]  4 Mn 2.84, 4 Au 2.98, 4 Hg 3.06
Au 0.0000 0.0000 0.6465 [2 per cell]  4 Mn 2.70, 4 Hg 2.98


No. 8
MnHg2Au: relaxed, GGA-PBEsol.

Computed properties:
energy relative to the elements: 208 meV/atom
N(E_F): 0.52 states/eV/atom

Lattice parameters (Å, degrees): 3.2546 3.4957 6.3244 90.00 90.00 90.00
Last column: nearest neighbours and their distance in Å.
Space group Pmmm (No. 47)
Unique sites:
Mn 0.0000 0.0000 0.0000 [1 per cell]  8 Hg 2.83, 2 Au 3.16
Hg 0.5000 0.5000 0.2406 [2 per cell]  4 Mn 2.83, 4 Au 2.90, 1 Hg 3.04
Au 0.0000 0.0000 0.5000 [1 per cell]  8 Hg 2.90, 2 Mn 3.16